1.
{
  "formula": "Sb3W",
  "functional": "PBE",
  "state": "relaxed",
  "e_above_lowest_polymorph_mev_per_atom": 482,
  "formation_energy_uncorrected_ev_per_atom": 0.777,
  "lattice_angstrom": [[5.006, -0.038, 0.000], [0.072, 5.005, 0.000], [-2.539, -2.484, 3.528]],
  "species": ["Sb", "Sb", "Sb", "W"],
  "frac_coords": [[0.250, 0.750, 0.500], [0.500, 0.500, 0.000], [0.750, 0.250, 0.500], [0.000, 0.000, 0.000]]
}

---

2.
{
  "formula": "Sb4W3",
  "functional": "PBE",
  "state": "relaxed",
  "e_above_lowest_polymorph_mev_per_atom": 423,
  "formation_energy_uncorrected_ev_per_atom": 0.746,
  "lattice_angstrom": [[2.687, -4.654, 0.000], [2.687, 4.654, 0.000], [0.000, 0.000, 6.204]],
  "species": ["Sb", "W", "Sb", "Sb", "Sb", "W", "W"],
  "frac_coords": [[0.000, 0.000, 0.237], [0.500, 0.000, 0.000], [0.333, 0.667, 0.500], [0.667, 0.333, 0.500], [0.000, 0.000, 0.763], [0.500, 0.500, 0.000], [0.000, 0.500, 0.000]]
}

---

3.
{
  "formula": "SbW2",
  "functional": "PBE",
  "state": "relaxed",
  "e_above_lowest_polymorph_mev_per_atom": 127,
  "formation_energy_uncorrected_ev_per_atom": 0.586,
  "lattice_angstrom": [[5.328, 0.024, 0.000], [3.238, 4.231, 0.000], [-4.283, -2.128, 2.349]],
  "species": ["W", "W", "Sb"],
  "frac_coords": [[0.827, 0.827, 0.000], [0.173, 0.173, 0.000], [0.500, 0.500, 0.000]]
}